Material: NdTl2P2S6
Method: DFT, PBE
State: relaxed

```
11
Lattice="6.968 0.000 0.000 -3.484 5.843 -0.184 0.000 -3.577 7.266" Properties=species:S:1:pos:R:3 pbc="T T T"
P 3.484 2.413 5.841
Tl 3.484 1.718 1.326
Tl 0.000 0.549 5.756
Nd 3.484 -1.788 3.633
S 0.000 1.393 2.660
S 1.807 4.494 1.260
S -1.807 4.494 1.260
S 3.484 0.874 4.423
S 1.677 -2.227 5.822
P 0.000 -0.146 1.241
S 5.290 -2.227 5.822
```

Energy relative to the elements, uncorrected   -593 meV per atom
SG   C2/m
Final energy   -4.691 eV/atom
Crystal system   monoclinic